1.
# SCAN LiCuP, single point on PBEsol structure
data_LiCuP
_chemical_formula_sum 'Li1 Cu1 P1'
_symmetry_space_group_name_H-M 'P 1'
_symmetry_Int_Tables_number 1
_cell_length_a 2.882
_cell_length_b 3.926
_cell_length_c 3.926
_cell_angle_alpha 120.00
_cell_angle_beta 90.00
_cell_angle_gamma 90.00
loop_
_symmetry_equiv_pos_as_xyz
'x,y,z'
loop_
_atom_site_label
_atom_site_type_symbol
_atom_site_fract_x
_atom_site_fract_y
_atom_site_fract_z
_atom_site_occupancy
Cu1 Cu 0.500 0.000 0.000 1
Li1 Li 0.000 0.333 0.667 1
P1 P 0.500 0.667 0.333 1
# Electronic total energy: -29.20 eV per cell
# Spin magnetization: 0.00 μB per formula unit
# Energy of formation from the pure elements: -0.40 eV/atom
# Crystal system: hexagonal


2.
# SCAN Li3CuPb, single point on PBEsol structure
data_Li3CuPb
_chemical_formula_sum 'Li3 Cu1 Pb1'
_symmetry_space_group_name_H-M 'P 1'
_symmetry_Int_Tables_number 1
_cell_length_a 4.564
_cell_length_b 4.564
_cell_length_c 4.564
_cell_angle_alpha 90.00
_cell_angle_beta 90.00
_cell_angle_gamma 90.00
loop_
_symmetry_equiv_pos_as_xyz
'x,y,z'
loop_
_atom_site_label
_atom_site_type_symbol
_atom_site_fract_x
_atom_site_fract_y
_atom_site_fract_z
_atom_site_occupancy
Li1 Li 0.500 0.000 0.000 1
Li2 Li 0.000 0.000 0.500 1
Li3 Li 0.000 0.500 0.000 1
Cu1 Cu 0.000 0.000 0.000 1
Pb1 Pb 0.500 0.500 0.500 1
# Relative energy among the computed polymorphs: 0.0 meV/atom
# Electronic total energy: -97.92 eV per cell
# Spin magnetization: 0.00 μB per formula unit
# Energy of formation from the pure elements: 0.05 eV/atom
# Crystal system: cubic


3.
# SCAN Li3CuPb, single point on PBEsol structure
data_Li3CuPb
_chemical_formula_sum 'Li3 Cu1 Pb1'
_symmetry_space_group_name_H-M 'P 1'
_symmetry_Int_Tables_number 1
_cell_length_a 5.044
_cell_length_b 5.044
_cell_length_c 5.044
_cell_angle_alpha 90.00
_cell_angle_beta 90.00
_cell_angle_gamma 90.00
loop_
_symmetry_equiv_pos_as_xyz
'x,y,z'
loop_
_atom_site_label
_atom_site_type_symbol
_atom_site_fract_x
_atom_site_fract_y
_atom_site_fract_z
_atom_site_occupancy
Li1 Li 0.500 0.000 0.000 1
Li2 Li 0.000 0.500 0.000 1
Li3 Li 0.000 0.000 0.500 1
Cu1 Cu 0.500 0.500 0.500 1
Pb1 Pb 0.000 0.000 0.000 1
# Relative energy among the computed polymorphs: 448.6 meV/atom
# Electronic total energy: -95.67 eV per cell
# Spin magnetization: 0.00 μB per formula unit
# Energy of formation from the pure elements: 0.50 eV/atom
# Crystal system: cubic


4.
# SCAN LiCuPb2, single point on PBEsol structure
data_LiCuPb2
_chemical_formula_sum 'Li1 Cu1 Pb2'
_symmetry_space_group_name_H-M 'P 1'
_symmetry_Int_Tables_number 1
_cell_length_a 3.536
_cell_length_b 4.812
_cell_length_c 4.812
_cell_angle_alpha 90.00
_cell_angle_beta 90.00
_cell_angle_gamma 90.00
loop_
_symmetry_equiv_pos_as_xyz
'x,y,z'
loop_
_atom_site_label
_atom_site_type_symbol
_atom_site_fract_x
_atom_site_fract_y
_atom_site_fract_z
_atom_site_occupancy
Cu1 Cu 0.500 0.500 0.500 1
Li1 Li 0.500 0.000 0.000 1
Pb1 Pb 0.000 0.000 0.500 1
Pb2 Pb 0.000 0.500 0.000 1
# Relative energy among the computed polymorphs: 0.0 meV/atom
# Electronic total energy: -169.15 eV per cell
# Spin magnetization: 0.00 μB per formula unit
# Energy of formation from the pure elements: 0.00 eV/atom
# Crystal system: tetragonal


5.
# SCAN LiCuPb2, single point on PBEsol structure
data_LiCuPb2
_chemical_formula_sum 'Li1 Cu1 Pb2'
_symmetry_space_group_name_H-M 'P 1'
_symmetry_Int_Tables_number 1
_cell_length_a 3.315
_cell_length_b 4.869
_cell_length_c 5.614
_cell_angle_alpha 106.11
_cell_angle_beta 107.17
_cell_angle_gamma 90.00
loop_
_symmetry_equiv_pos_as_xyz
'x,y,z'
loop_
_atom_site_label
_atom_site_type_symbol
_atom_site_fract_x
_atom_site_fract_y
_atom_site_fract_z
_atom_site_occupancy
Pb1 Pb 0.233 0.691 0.466 1
Pb2 Pb 0.011 0.050 0.021 1
Cu1 Cu 0.482 0.530 0.963 1
Li1 Li 0.775 0.229 0.549 1
# Relative energy among the computed polymorphs: 23.8 meV/atom
# Electronic total energy: -169.06 eV per cell
# Spin magnetization: 0.00 μB per formula unit
# Energy of formation from the pure elements: 0.02 eV/atom
# Crystal system: monoclinic


6.
# SCAN LiCuPd2, single point on PBEsol structure
data_LiCuPd2
_chemical_formula_sum 'Li1 Cu1 Pd2'
_symmetry_space_group_name_H-M 'P 1'
_symmetry_Int_Tables_number 1
_cell_length_a 4.173
_cell_length_b 4.173
_cell_length_c 4.173
_cell_angle_alpha 60.00
_cell_angle_beta 60.00
_cell_angle_gamma 60.00
loop_
_symmetry_equiv_pos_as_xyz
'x,y,z'
loop_
_atom_site_label
_atom_site_type_symbol
_atom_site_fract_x
_atom_site_fract_y
_atom_site_fract_z
_atom_site_occupancy
Pd1 Pd 0.250 0.250 0.250 1
Pd2 Pd 0.750 0.750 0.750 1
Cu1 Cu 0.500 0.500 0.500 1
Li1 Li 0.000 0.000 0.000 1
# Electronic total energy: -84.28 eV per cell
# Spin magnetization: 0.00 μB per formula unit
# Energy of formation from the pure elements: -0.29 eV/atom
# Crystal system: cubic